1.
First-principles (GGA-PBE) data for an optimized crystal structure of Ce2SiPt, as listed in the Alexandria database.

Results
The total energy comes out at -6.59 eV/atom. As for the space group: No. 123. The formation energy from raw total energies comes out at -293 kJ/mol of formula units. The crystal system is tetragonal.

Unit cell a=3.775 b=3.775 c=6.105 alpha=90.00 beta=90.00 gamma=90.00
Each line ends with the local moment (μB).
Positions (direct):
Si: 0.500 0.500 0.500  -0.02
Ce: 0.000 0.000 0.731  0.47
Ce: 0.000 0.000 0.269  0.47
Pt: 0.500 0.500 0.000  -0.01



2.
First-principles (GGA-PBE) data for an optimized crystal structure of SbAs2Pb, as listed in the Alexandria database.

Results
The total energy comes out at -4.15 eV/atom. As for the space group: No. 47. The formation energy from raw total energies comes out at 49 kJ/mol of formula units. The crystal system is orthorhombic.

Unit cell a=4.037 b=3.133 c=8.119 alpha=89.97 beta=90.00 gamma=90.00
Positions (direct):
Pb: 0.500 0.250 0.250
Sb: 0.500 0.750 0.750
As: 0.000 0.750 0.003
As: 0.000 0.750 0.497



What did the second record say?
First-principles (GGA-PBE) data for an optimized crystal structure of SbAs2Pb, as listed in the Alexandria database.

Results
The total energy comes out at -4.15 eV/atom. As for the space group: No. 47. The formation energy from raw total energies comes out at 49 kJ/mol of formula units. The crystal system is orthorhombic.

Unit cell a=4.037 b=3.133 c=8.119 alpha=89.97 beta=90.00 gamma=90.00
Positions (direct):
Pb: 0.500 0.250 0.250
Sb: 0.500 0.750 0.750
As: 0.000 0.750 0.003
As: 0.000 0.750 0.497